First-principles (GGA-PBE) data for a geometry-optimized Pr4ScS7 structure, as listed in Alexandria via LeMat-Bulk.

```
12
Lattice="-1.293 2.355 -2.868 0.693 -6.250 -2.753 -10.792 -0.026 4.843" Properties=species:S:1:pos:R:3 pbc="T T T"
Pr -11.322 -3.908 -0.799
Pr -4.654 -1.130 1.170
Pr -9.252 -0.844 0.785
Pr -2.108 -3.084 -1.583
S -4.570 -1.332 -1.727
S -10.186 -3.432 1.773
S -5.423 -4.961 -1.630
S -2.928 -3.517 -4.262
S -8.295 -0.356 3.447
S -6.950 -2.820 0.817
S -1.185 -0.456 -2.533
Sc -6.829 -2.769 -1.889
```

Results
SG	Cm
electronic total energy	-6.54	eV/atom
formation energy from raw total energies	-2.011	eV/atom
V	295	Å³/cell

=====

First-principles (GGA-PBE) data for a geometry-optimized PrSc2S4 structure, as listed in Alexandria via LeMat-Bulk.

```
14
Lattice="3.781 0.000 0.000 -1.890 6.142 0.000 0.000 0.000 12.769" Properties=species:S:1:pos:R:3 pbc="T T T"
S 0.000 2.830 11.306
S 1.890 3.311 1.463
S 0.000 2.830 7.848
S 1.890 3.311 4.921
S 1.890 0.000 0.000
S 1.890 5.487 9.577
S 1.890 0.000 6.384
S 0.000 0.654 3.192
Sc 0.000 1.584 0.813
Sc 1.890 4.558 7.197
Sc 0.000 1.584 5.572
Sc 1.890 4.558 11.956
Pr 0.000 4.666 3.192
Pr 1.890 1.476 9.577
```

Results
SG	Cmcm
electronic total energy	-6.83	eV/atom
formation energy from raw total energies	-1.983	eV/atom
V	296	Å³/cell

=====

First-principles (GGA-PBE) data for a geometry-optimized Pr3ScS4 structure, as listed in Alexandria via LeMat-Bulk.

```
8
Lattice="-1.128 3.785 -0.477 -3.155 1.400 1.978 6.464 5.343 10.531" Properties=species:S:1:pos:R:3 pbc="T T T"
Sc 0.000 0.000 0.000
S 4.223 6.698 9.997
S 3.556 4.010 6.834
S -2.041 3.829 2.035
S -1.374 6.517 5.198
Pr 1.091 5.264 6.016
Pr 1.727 7.937 9.140
Pr 0.454 2.590 2.892
```

Results
SG	R-3m
electronic total energy	-6.61	eV/atom
formation energy from raw total energies	-1.958	eV/atom
energy relative to the lowest polymorph listed for this composition	0.0	meV/atom
V	182	Å³/cell

=====

First-principles (GGA-PBE) data for a geometry-optimized PrScS3 structure, as listed in Alexandria via LeMat-Bulk.

```
10
Lattice="3.852 0.000 0.000 -1.926 7.167 0.306 0.000 -0.250 8.387" Properties=species:S:1:pos:R:3 pbc="T T T"
Sc 0.000 2.349 7.340
Sc 1.926 4.568 1.353
S 1.926 6.480 3.067
S 1.926 2.049 0.512
S 1.926 3.338 5.756
S 0.000 3.579 2.937
S 0.000 0.436 5.625
S 0.000 4.867 8.181
Pr 0.000 5.399 5.217
Pr 1.926 1.518 3.475
```

Results
SG	C2/m
electronic total energy	-6.63	eV/atom
formation energy from raw total energies	-1.936	eV/atom
energy relative to the lowest polymorph listed for this composition	71.5	meV/atom
V	232	Å³/cell

=====

First-principles (GGA-PBE) data for a geometry-optimized Pr2Sm3ScS6 structure, as listed in Alexandria via LeMat-Bulk.

```
12
Lattice="3.984 0.000 0.000 0.000 8.035 0.313 -1.992 -2.286 8.374" Properties=species:S:1:pos:R:3 pbc="T T T"
Pr 1.992 3.826 5.798
Pr 0.000 1.922 2.889
S 1.992 3.977 2.940
S 1.992 -0.132 2.676
S 0.000 5.880 6.011
S 0.000 6.158 0.302
S 0.000 1.772 5.747
S 1.992 -0.410 8.385
Sm 1.992 -0.181 5.573
Sm 1.992 4.017 0.157
Sm 0.000 5.929 3.114
Sc 1.992 0.000 0.000
```

Results
SG	C2/m
electronic total energy	-6.54	eV/atom
formation energy from raw total energies	-1.968	eV/atom
V	271	Å³/cell

=====

First-principles (GGA-PBE) data for a geometry-optimized PrSm2ScS4 structure, as listed in Alexandria via LeMat-Bulk.

```
8
Lattice="3.922 0.000 0.000 0.000 6.947 0.170 0.000 -2.377 6.418" Properties=species:S:1:pos:R:3 pbc="T T T"
S 1.961 1.039 1.549
S 0.000 -0.155 4.874
S 1.961 3.531 5.039
S 0.000 4.725 1.714
Sm 1.961 -1.189 3.209
Sm 0.000 2.285 3.294
Pr 1.961 3.473 0.085
Sc 0.000 0.000 0.000
```

Results
SG	P2/m
electronic total energy	-6.57	eV/atom
formation energy from raw total energies	-1.941	eV/atom
V	176	Å³/cell

=====

formation energy from raw total energies of number 6 (PrSm2ScS4)? -1.941 eV/atom

=====

Which value of electronic total energy does entry 4 give? -6.63 eV/atom

=====

Look up the electronic total energy of the fifth one. -6.54 eV/atom

=====

What is the formation energy from raw total energies in the fourth record? -1.936 eV/atom